A relaxed structure of Pt2Br, computed with GGA-PBE.

a = 9.951 Å, b = 9.951 Å, c = 9.951 Å
α = 151.10°, β = 151.10°, γ = 41.33°
Element x y z (fractional)
Pt: 0.053 0.803 0.250
Pt: 0.096 0.346 0.750
Pt: 0.197 0.947 0.250
Pt: 0.346 0.096 0.250
Pt: 0.654 0.904 0.750
Pt: 0.803 0.053 0.750
Pt: 0.904 0.654 0.250
Pt: 0.947 0.197 0.750
Br: 0.296 0.546 0.750
Br: 0.454 0.704 0.750
Br: 0.546 0.296 0.250
Br: 0.704 0.454 0.250

- Formation energy (no corrections): 0.6445 eV/atom
- Magnetization: 0.00 μB per formula unit
- E above lowest polymorph: 454 meV/atom
- Final energy: -3.94 eV per atom
- Space-group type: I4_1/amd

=====

A relaxed structure of PtBr4, computed with GGA-PBE.

a = 7.484 Å, b = 7.484 Å, c = 2.966 Å
α = 90.00°, β = 90.00°, γ = 90.00°
Element x y z (fractional)
Pt: 0.000 0.000 0.000
Br: 0.223 0.223 0.500
Br: 0.223 0.777 0.500
Br: 0.777 0.223 0.500
Br: 0.777 0.777 0.500

- Formation energy (no corrections): 0.3156 eV/atom
- Magnetization: 0.00 μB per formula unit
- Final energy: -2.23 eV per atom
- Space-group type: P4/mmm

=====

A relaxed structure of Pt2Br, computed with GGA-PBE.

a = 5.393 Å, b = 5.393 Å, c = 5.393 Å
α = 140.45°, β = 140.45°, γ = 57.17°
Element x y z (fractional)
Pt: 0.225 0.225 0.000
Pt: 0.775 0.775 0.000
Br: 0.500 0.500 0.000

- Formation energy (no corrections): 0.5296 eV/atom
- Magnetization: 0.00 μB per formula unit
- E above lowest polymorph: 340 meV/atom
- Final energy: -4.06 eV per atom
- Space-group type: I4/mmm

=====

A relaxed structure of PtBr, computed with GGA-PBE.

a = 8.254 Å, b = 8.254 Å, c = 8.254 Å
α = 26.35°, β = 26.35°, γ = 26.35°
Element x y z (fractional)
Pt: 0.136 0.136 0.136
Pt: 0.864 0.864 0.864
Br: 0.410 0.410 0.410
Br: 0.590 0.590 0.590

- Formation energy (no corrections): -0.1611 eV/atom
- Magnetization: 0.00 μB per formula unit
- Final energy: -4.02 eV per atom
- Space-group type: R-3m

=====

A relaxed structure of Pt2Br, computed with GGA-PBE.

a = 5.797 Å, b = 5.797 Å, c = 5.797 Å
α = 126.98°, β = 126.98°, γ = 78.29°
Element x y z (fractional)
Pt: 0.186 0.686 0.871
Pt: 0.314 0.186 0.500
Pt: 0.686 0.814 0.500
Pt: 0.814 0.314 0.129
Br: 0.250 0.250 0.000
Br: 0.750 0.750 0.000

- Formation energy (no corrections): 0.5173 eV/atom
- Magnetization: 0.00 μB per formula unit
- E above lowest polymorph: 327 meV/atom
- Final energy: -4.07 eV per atom
- Space-group type: I4/mcm

=====

A relaxed structure of Pt5Br3, computed with GGA-PBE.

a = 3.887 Å, b = 5.542 Å, c = 7.900 Å
α = 90.00°, β = 90.10°, γ = 90.00°
Element x y z (fractional)
Pt: 0.000 0.000 0.000
Pt: 0.499 0.241 0.832
Pt: 0.499 0.759 0.832
Pt: 0.501 0.241 0.168
Pt: 0.501 0.759 0.168
Br: 0.001 0.500 0.294
Br: 0.500 0.000 0.500
Br: 0.999 0.500 0.706

- Formation energy (no corrections): 0.1757 eV/atom
- Magnetization: 0.00 μB per formula unit
- Final energy: -4.23 eV per atom
- Space-group type: P2/m